(1)
Computed, not measured: crystalline TbSm2Er3As6 at its relaxed geometry at the GGA-PBE level of DFT.

Cell and atoms, written as CIF:
```
data_TbSm2Er3As6
_chemical_formula_sum 'Tb2 Sm4 Er6 As12'
_symmetry_space_group_name_H-M 'C 1 2/m 1'
_symmetry_Int_Tables_number 12
_symmetry_space_group_name_Hall '-C 2y'
_cell_length_a 18.022
_cell_length_b 4.138
_cell_length_c 8.269
_cell_angle_alpha 90.00
_cell_angle_beta 103.21
_cell_angle_gamma 90.00
loop_
_atom_site_label
_atom_site_type_symbol
_atom_site_fract_x
_atom_site_fract_y
_atom_site_fract_z
Tb1 Tb 0.000 0.000 0.000
Sm1 Sm 0.166 0.500 0.333
Er1 Er 0.000 0.000 0.500
Er2 Er 0.167 0.500 0.834
As1 As 0.002 0.500 0.749
As2 As 0.165 0.000 0.588
As3 As 0.167 0.000 0.078
```

Computed properties:
As for the formation energy: -1762 kJ/mol of formula units. The calculation puts the total moment at 0.000 μB/atom. For the density of states at the Fermi level, the calculation gives 3.61 states/eV per cell.

---

(2)
Computed, not measured: crystalline RbBi at its relaxed geometry at the GGA-PBE level of DFT.

Cell and atoms, written as CIF:
```
data_RbBi
_chemical_formula_sum 'Rb16 Bi16'
_symmetry_space_group_name_H-M 'P 1 21/c 1'
_symmetry_Int_Tables_number 14
_symmetry_space_group_name_Hall '-P 2ybc'
_cell_length_a 15.161
_cell_length_b 7.634
_cell_length_c 14.228
_cell_angle_alpha 90.00
_cell_angle_beta 113.48
_cell_angle_gamma 90.00
loop_
_atom_site_label
_atom_site_type_symbol
_atom_site_fract_x
_atom_site_fract_y
_atom_site_fract_z
Rb1 Rb 0.107 0.191 0.466
Rb2 Rb 0.154 0.580 0.688
Rb3 Rb 0.355 0.646 0.047
Rb4 Rb 0.373 0.113 0.850
Bi1 Bi 0.075 0.697 0.381
Bi2 Bi 0.100 0.070 0.730
Bi3 Bi 0.398 0.134 0.134
Bi4 Bi 0.426 0.627 0.808
```

Computed properties:
As for the formation energy: -68 kJ/mol of formula units. The calculation puts the total moment at 0.000 μB/atom. For the density of states at the Fermi level, the calculation gives 0.04 states/eV per cell. For the energy above the lowest structure with this stoichiometry, the calculation gives 1 meV/atom.

---

(3)
Computed, not measured: crystalline KAgRh at its relaxed geometry at the GGA-PBE level of DFT.

Cell and atoms, written as CIF:
```
data_KAgRh
_chemical_formula_sum 'K2 Ag2 Rh2'
_symmetry_space_group_name_H-M 'I 4 m m'
_symmetry_Int_Tables_number 107
_symmetry_space_group_name_Hall 'I 4 -2'
_cell_length_a 2.938
_cell_length_b 2.938
_cell_length_c 14.718
_cell_angle_alpha 90.00
_cell_angle_beta 90.00
_cell_angle_gamma 90.00
loop_
_atom_site_label
_atom_site_type_symbol
_atom_site_fract_x
_atom_site_fract_y
_atom_site_fract_z
K1 K 0.000 0.000 0.000
Ag1 Ag 0.000 0.000 0.303
Rh1 Rh 0.000 0.000 0.673
```

Computed properties:
As for the formation energy: 155 kJ/mol of formula units. The calculation puts the total moment at 0.158 μB/atom. For the density of states at the Fermi level, the calculation gives 5.02 states/eV per cell. For the energy above the lowest structure with this stoichiometry, the calculation gives 133 meV/atom.